[1]
Below is a geometry-optimized LiAcNd structure, with properties calculated at the PBE level.

Summary:
- energy relative to the lowest polymorph listed for this composition (meV per atom) = 36
- energy of formation from the pure elements (kJ per mole of atoms) = 7.3

Cell lengths 7.0409, 7.0409, 7.0409 Å; angles 147.47, 147.47, 46.66 degrees
Last column: nearest neighbours and their distance in Å.
Fractional coordinates of all 3 atoms:
Li (0.0000, 0.0000, 0.0000)  4 Nd 3.32, 4 Ac 3.48
Ac (0.6614, 0.6614, 0.0000)  4 Li 3.48, 5 Nd 3.80-3.88
Nd (0.3611, 0.3611, 0.0000)  4 Li 3.32


[2]
Below is a geometry-optimized RbNi2IrS structure, with properties calculated at the PBE level.

Summary:
- formation energy from raw total energies (eV/f.u.) = 2.5

Cell lengths 4.4849, 4.4849, 4.4877 Å; angles 90.00, 90.00, 90.00 degrees
Last column: nearest neighbours and their distance in Å.
Fractional coordinates of all 5 atoms:
Rb (0.0000, 0.0000, 0.0000)  4 Ir 3.17, 8 Ni 3.17
Ni (0.0000, 0.5000, 0.5000)  2 S 2.24
Ni (0.5000, 0.0000, 0.5000)  2 S 2.24
Ir (0.5000, 0.5000, 0.0000)  2 S 2.24
S (0.5000, 0.5000, 0.5000)  4 Ni 2.24, 2 Ir 2.24


[3]
Below is a geometry-optimized LiNb2RhSe structure, with properties calculated at the PBE level.

Summary:
- energy relative to the lowest polymorph listed for this composition (meV per atom) = 83
- formation energy from raw total energies (eV/f.u.) = 2.8

Cell lengths 4.7807, 4.7807, 4.5966 Å; angles 90.00, 90.00, 90.00 degrees
Last column: nearest neighbours and their distance in Å.
Fractional coordinates of all 5 atoms:
Li (0.0000, 0.0000, 0.0000)  8 Nb 3.32, 4 Rh 3.38
Nb (0.0000, 0.5000, 0.5000)  2 Se 2.39
Nb (0.5000, 0.0000, 0.5000)  2 Se 2.39
Rh (0.5000, 0.5000, 0.0000)  2 Se 2.30
Se (0.5000, 0.5000, 0.5000)  2 Rh 2.30, 4 Nb 2.39


[4]
Below is a geometry-optimized TaCd2P structure, with properties calculated at the PBE level.

Summary:
- energy of formation from the pure elements (kJ per mole of atoms) = 6.1

Cell lengths 4.8679, 4.8679, 5.3294 Å; angles 109.84, 109.84, 40.63 degrees
Last column: nearest neighbours and their distance in Å.
Fractional coordinates of all 4 atoms:
Ta (0.0000, 0.0000, 0.0000)  3 P 2.51-2.72
Cd (0.5588, 0.5588, 0.5863)  3 Cd 2.71-2.89, 2 P 2.92, 2 Ta 2.98
Cd (0.7844, 0.7844, 0.3665)  2 P 2.70, 3 Cd 2.71-2.89
P (0.2921, 0.2921, 0.9765)  3 Ta 2.51-2.72, 2 Cd 2.70


[5]
Below is a geometry-optimized Be3Fe3Si2 structure, with properties calculated at the PBE level.

Summary:
- formation energy from raw total energies (eV/f.u.) = -1.3

Cell lengths 4.4350, 4.4350, 10.9463 Å; angles 90.00, 90.00, 131.54 degrees
Last column: nearest neighbours and their distance in Å.
Fractional coordinates of all 16 atoms:
Be (0.0747, 0.9253, 0.7500)  1 Fe 2.22, 2 Si 2.24, 2 Be 2.42
Be (0.0875, 0.9125, 0.0640)  1 Be 1.99, 2 Si 2.18
Be (0.0875, 0.9125, 0.4360)  1 Be 1.99, 2 Si 2.18
Be (0.9125, 0.0875, 0.5640)  1 Be 1.99, 2 Si 2.18
Be (0.9125, 0.0875, 0.9360)  1 Be 1.99, 2 Si 2.18
Be (0.9253, 0.0747, 0.2500)  1 Fe 2.22, 2 Si 2.24, 2 Be 2.42
Fe (0.2004, 0.7996, 0.2500)  3 Be 2.22-2.23, 4 Si 2.38, 2 Fe 2.47
Fe (0.4172, 0.5828, 0.0912)  6 Be 2.30-2.52, 2 Fe 2.40-2.47, 4 Si 2.42-2.48
Fe (0.4172, 0.5828, 0.4088)  6 Be 2.30-2.52, 2 Fe 2.40-2.47, 4 Si 2.42-2.48
Fe (0.5828, 0.4172, 0.5912)  6 Be 2.30-2.52, 2 Fe 2.40-2.47, 4 Si 2.42-2.48
Fe (0.5828, 0.4172, 0.9088)  6 Be 2.30-2.52, 2 Fe 2.40-2.47, 4 Si 2.42-2.48
Fe (0.7996, 0.2004, 0.7500)  3 Be 2.22-2.23, 4 Si 2.38, 2 Fe 2.47
Si (0.2774, 0.7226, 0.6107)  3 Be 2.18-2.24, 4 Fe 2.38-2.42
Si (0.2774, 0.7226, 0.8893)  3 Be 2.18-2.24, 4 Fe 2.38-2.42
Si (0.7226, 0.2774, 0.1107)  3 Be 2.18-2.24, 4 Fe 2.38-2.42
Si (0.7226, 0.2774, 0.3893)  3 Be 2.18-2.24, 4 Fe 2.38-2.42


[6]
Below is a geometry-optimized Hf3SiP structure, with properties calculated at the PBE level.

Summary:
- energy relative to the lowest polymorph listed for this composition (meV per atom) = 713
- formation energy from raw total energies (eV/f.u.) = 0.1

Cell lengths 4.7597, 4.7597, 4.7597 Å; angles 90.00, 90.00, 90.00 degrees
Last column: nearest neighbours and their distance in Å.
Fractional coordinates of all 5 atoms:
Hf (0.0000, 0.0000, 0.5000)  2 P 2.38
Hf (0.0000, 0.5000, 0.0000)  2 P 2.38
Hf (0.5000, 0.0000, 0.0000)  2 P 2.38
Si (0.5000, 0.5000, 0.5000)  12 Hf 3.37
P (0.0000, 0.0000, 0.0000)  6 Hf 2.38


[7]
Below is a geometry-optimized Sc12Ag3O5 structure, with properties calculated at the PBE level.

Summary:
- formation energy from raw total energies (eV/f.u.) = -29.3

Cell lengths 12.4251, 12.4251, 12.4251 Å; angles 109.47, 109.47, 109.47 degrees
Last column: nearest neighbours and their distance in Å.
Fractional coordinates of all 80 atoms:
Sc (0.0098, 0.1968, 0.1065)  1 O 2.05
Sc (0.0098, 0.3130, 0.9032)  1 O 2.05
Sc (0.0903, 0.6968, 0.6870)  1 O 2.05
Sc (0.0903, 0.8935, 0.4032)  1 O 2.05
Sc (0.0968, 0.6065, 0.4097)  1 O 2.05
Sc (0.0968, 0.9902, 0.6870)  1 O 2.05
Sc (0.1065, 0.0098, 0.1968)  1 O 2.05
Sc (0.1065, 0.5968, 0.9097)  1 O 2.05
Sc (0.1870, 0.1968, 0.5903)  1 O 2.05
Sc (0.1870, 0.4902, 0.5968)  1 O 2.05
Sc (0.1968, 0.1065, 0.0098)  1 O 2.05
Sc (0.1968, 0.5903, 0.1870)  1 O 2.05
Sc (0.3032, 0.3130, 0.9097)  1 O 2.05
Sc (0.3032, 0.4902, 0.3935)  1 O 2.05
Sc (0.3130, 0.9032, 0.0098)  1 O 2.05
Sc (0.3130, 0.9097, 0.3032)  1 O 2.05
Sc (0.3935, 0.3032, 0.4902)  1 O 2.05
Sc (0.3935, 0.5903, 0.9032)  1 O 2.05
Sc (0.4032, 0.0903, 0.8935)  1 O 2.05
Sc (0.4032, 0.8130, 0.5098)  1 O 2.05
Sc (0.4097, 0.0968, 0.6065)  1 O 2.05
Sc (0.4097, 0.8130, 0.8032)  1 O 2.05
Sc (0.4902, 0.3935, 0.3032)  1 O 2.05
Sc (0.4902, 0.5968, 0.1870)  1 O 2.05
Sc (0.5098, 0.4032, 0.8130)  1 O 2.05
Sc (0.5098, 0.6065, 0.6968)  1 O 2.05
Sc (0.5903, 0.1870, 0.1968)  1 O 2.05
Sc (0.5903, 0.9032, 0.3935)  1 O 2.05
Sc (0.5968, 0.1870, 0.4902)  1 O 2.05
Sc (0.5968, 0.9097, 0.1065)  1 O 2.05
Sc (0.6065, 0.4097, 0.0968)  1 O 2.05
Sc (0.6065, 0.6968, 0.5098)  1 O 2.05
Sc (0.6870, 0.0903, 0.6968)  1 O 2.05
Sc (0.6870, 0.0968, 0.9902)  1 O 2.05
Sc (0.6968, 0.5098, 0.6065)  1 O 2.05
Sc (0.6968, 0.6870, 0.0903)  1 O 2.05
Sc (0.8032, 0.4097, 0.8130)  1 O 2.05
Sc (0.8032, 0.8935, 0.9902)  1 O 2.05
Sc (0.8130, 0.5098, 0.4032)  1 O 2.05
Sc (0.8130, 0.8032, 0.4097)  1 O 2.05
Sc (0.8935, 0.4032, 0.0903)  1 O 2.05
Sc (0.8935, 0.9902, 0.8032)  1 O 2.05
Sc (0.9032, 0.0098, 0.3130)  1 O 2.05
Sc (0.9032, 0.3935, 0.5903)  1 O 2.05
Sc (0.9097, 0.1065, 0.5968)  1 O 2.05
Sc (0.9097, 0.3032, 0.3130)  1 O 2.05
Sc (0.9902, 0.6870, 0.0968)  1 O 2.05
Sc (0.9902, 0.8032, 0.8935)  1 O 2.05
Ag (0.1250, 0.2500, 0.3750)  8 Sc 2.89-2.94
Ag (0.1250, 0.3750, 0.7500)  8 Sc 2.89-2.94
Ag (0.2500, 0.3750, 0.1250)  8 Sc 2.89-2.94
Ag (0.2500, 0.8750, 0.6250)  8 Sc 2.89-2.94
Ag (0.3750, 0.1250, 0.2500)  8 Sc 2.89-2.94
Ag (0.3750, 0.7500, 0.1250)  8 Sc 2.89-2.94
Ag (0.6250, 0.2500, 0.8750)  8 Sc 2.89-2.94
Ag (0.6250, 0.8750, 0.7500)  8 Sc 2.89-2.94
Ag (0.7500, 0.1250, 0.3750)  8 Sc 2.89-2.94
Ag (0.7500, 0.6250, 0.8750)  8 Sc 2.89-2.94
Ag (0.8750, 0.6250, 0.2500)  8 Sc 2.89-2.94
Ag (0.8750, 0.7500, 0.6250)  8 Sc 2.89-2.94
O (0.0000, 0.0000, 0.0000)  6 Sc 2.30
O (0.0000, 0.0000, 0.5000)  6 Sc 2.30
O (0.0000, 0.5000, 0.0000)  6 Sc 2.30
O (0.0000, 0.5000, 0.5000)  6 Sc 2.30
O (0.1250, 0.7500, 0.8750)  4 Sc 2.05
O (0.1250, 0.8750, 0.2500)  4 Sc 2.05
O (0.2500, 0.1250, 0.8750)  4 Sc 2.05
O (0.2500, 0.6250, 0.3750)  4 Sc 2.05
O (0.3750, 0.2500, 0.6250)  4 Sc 2.05
O (0.3750, 0.6250, 0.7500)  4 Sc 2.05
O (0.5000, 0.0000, 0.0000)  6 Sc 2.30
O (0.5000, 0.0000, 0.5000)  6 Sc 2.30
O (0.5000, 0.5000, 0.0000)  6 Sc 2.30
O (0.5000, 0.5000, 0.5000)  6 Sc 2.30
O (0.6250, 0.3750, 0.2500)  4 Sc 2.05
O (0.6250, 0.7500, 0.3750)  4 Sc 2.05
O (0.7500, 0.3750, 0.6250)  4 Sc 2.05
O (0.7500, 0.8750, 0.1250)  4 Sc 2.05
O (0.8750, 0.1250, 0.7500)  4 Sc 2.05
O (0.8750, 0.2500, 0.1250)  4 Sc 2.05


[8]
Below is a geometry-optimized BaOsCl structure, with properties calculated at the PBE level.

Summary:
- energy relative to the lowest polymorph listed for this composition (meV per atom) = 126
- formation energy from raw total energies (eV/f.u.) = 2.2

Cell lengths 5.1335, 5.1335, 5.1335 Å; angles 60.00, 60.00, 60.00 degrees
Last column: nearest neighbours and their distance in Å.
Fractional coordinates of all 3 atoms:
Ba (0.0000, 0.0000, 0.0000)  4 Cl 3.14
Os (0.5000, 0.5000, 0.5000)  4 Cl 3.14
Cl (0.7500, 0.7500, 0.7500)  4 Os 3.14, 4 Ba 3.14


[9]
Below is a geometry-optimized TaN structure, with properties calculated at the PBE level.

Summary:
- formation energy from raw total energies (eV/f.u.) = -1.6

Cell lengths 7.6133, 7.6133, 3.5795 Å; angles 90.00, 90.00, 120.00 degrees
Last column: nearest neighbours and their distance in Å.
Fractional coordinates of all 12 atoms:
Ta (0.1162, 0.6746, 0.2500)  3 N 2.03-2.09
Ta (0.3254, 0.4417, 0.2500)  3 N 2.03-2.09
Ta (0.4417, 0.1162, 0.7500)  3 N 2.03-2.09
Ta (0.5583, 0.8838, 0.2500)  3 N 2.03-2.09
Ta (0.6746, 0.5583, 0.7500)  3 N 2.03-2.09
Ta (0.8838, 0.3254, 0.7500)  3 N 2.03-2.09
N (0.0134, 0.3360, 0.2500)  3 Ta 2.03-2.09
N (0.3227, 0.9866, 0.2500)  3 Ta 2.03-2.09
N (0.3360, 0.3227, 0.7500)  3 Ta 2.03-2.09
N (0.6640, 0.6773, 0.2500)  3 Ta 2.03-2.09
N (0.6773, 0.0134, 0.7500)  3 Ta 2.03-2.09
N (0.9866, 0.6640, 0.7500)  3 Ta 2.03-2.09


[10]
Below is a geometry-optimized AcYAgPt structure, with properties calculated at the PBE level.

Summary:
- energy of formation from the pure elements (kJ per mole of atoms) = -61.4

Cell lengths 5.2671, 5.2671, 5.2671 Å; angles 60.00, 60.00, 60.00 degrees
Last column: nearest neighbours and their distance in Å.
Fractional coordinates of all 4 atoms:
Ac (0.0000, 0.0000, 0.0000)  4 Pt 3.23, 4 Ag 3.23
Y (0.5000, 0.5000, 0.5000)  4 Pt 3.23, 4 Ag 3.23
Ag (0.2500, 0.2500, 0.2500)  4 Y 3.23, 4 Ac 3.23
Pt (0.7500, 0.7500, 0.7500)  4 Ac 3.23, 4 Y 3.23


Total energy values (in eV per atom) by entry order: -3.522; -4.594; -6.025; -4.710; -6.083; -8.128; -6.931; -4.277; -10.888; -5.503.
Magnetization values (in μB per atom) by entry order: 0.0005; 0.0000; 0.0000; 0.0000; 0.3023; 0.0000; 0.1112; 1.0000; 0.0000; 0.0000.